Version one
Compound: La5InIr
Source: Alexandria
Functional: PBE
Structure: relaxed

Values from the calculation:
As for the size of the total moment: 0.0 μB per cell. Its space group is P4/mmm (123).

Cell lengths 5.089, 5.089, 8.406 Å; angles 90.00, 90.00, 90.00 degrees
Fractional coordinates of all 7 atoms:
La 0.000 0.000 0.000
La 0.000 0.500 0.300
La 0.000 0.500 0.700
La 0.500 0.000 0.300
La 0.500 0.000 0.700
In 0.500 0.500 0.000
Ir 0.000 0.000 0.500

Version two
Compound: La5InIr
Source: Alexandria
Functional: PBE
Structure: relaxed

Values from the calculation:
As for the size of the total moment: 0.0 μB per cell. Its space group is C2/c (15).

Cell lengths 6.441, 6.441, 12.016 Å; angles 103.70, 103.70, 72.83 degrees
Fractional coordinates of all 14 atoms:
La 0.015 0.985 0.750
La 0.036 0.428 0.136
La 0.209 0.554 0.449
La 0.428 0.036 0.636
La 0.446 0.791 0.051
La 0.554 0.209 0.949
La 0.572 0.964 0.364
La 0.791 0.446 0.551
La 0.964 0.572 0.864
La 0.985 0.015 0.250
In 0.445 0.555 0.750
In 0.555 0.445 0.250
Ir 0.000 0.000 0.000
Ir 0.000 0.000 0.500

Stability, lowest: version two